First-principles (PBE-GGA) data for crystalline Sc2AlPb2 at its relaxed geometry, as listed in the Alexandria database. Values from VASP.

D(E_F) ... 0.76 states/eV/atom
ΔE_f ... -0.136 eV per atom
Crystal system ... tetragonal
Total DFT energy (no corrections) ... -24.5 eV per formula unit
V ... 24.27 Å³ per atom
Energy above the lowest structure with this stoichiometry ... 0.035 eV/atom
Total magnetic moment ... 0.00 μB/f.u.

Geometry as Quantum ESPRESSO input:
```
&SYSTEM
  ibrav = 0, nat = 10, ntyp = 3
/
ATOMIC_SPECIES
Sc 44.96 Sc.upf
Al 26.98 Al.upf
Pb 207.20 Pb.upf
CELL_PARAMETERS angstrom
7.5437 0.0000 0.0000
0.0000 7.5437 0.0000
0.0000 0.0000 4.2647
ATOMIC_POSITIONS crystal
Sc 0.1636 0.3364 0.0000
Sc 0.3364 0.8364 0.0000
Sc 0.6636 0.1636 0.0000
Sc 0.8364 0.6636 0.0000
Al 0.0000 0.0000 0.5000
Al 0.5000 0.5000 0.5000
Pb 0.1452 0.6452 0.5000
Pb 0.3548 0.1452 0.5000
Pb 0.6452 0.8548 0.5000
Pb 0.8548 0.3548 0.5000
```

First-principles (PBE-GGA) data for crystalline Hf6AsC3N2 at its relaxed geometry, as listed in the Alexandria database. Values from VASP.

ΔE_f (raw) ... -1.097 eV per atom
D(E_F) ... 0.28 states/eV/atom
Crystal system ... monoclinic
Total DFT energy (no corrections) ... -121.9 eV per formula unit
V ... 13.52 Å³ per atom
Total magnetic moment ... 0.00 μB/f.u.

Geometry as Quantum ESPRESSO input:
```
&SYSTEM
  ibrav = 0, nat = 12, ntyp = 4
/
ATOMIC_SPECIES
Hf 178.49 Hf.upf
As 74.92 As.upf
C 12.01 C.upf
N 14.01 N.upf
CELL_PARAMETERS angstrom
7.3757 -1.6668 0.0000
7.3757 1.6668 0.0000
-1.6474 0.0000 6.5992
ATOMIC_POSITIONS crystal
Hf 0.0036 0.0036 0.2198
Hf 0.3209 0.3209 0.4116
Hf 0.3317 0.3317 0.9165
Hf 0.6683 0.6683 0.0835
Hf 0.6791 0.6791 0.5884
Hf 0.9964 0.9964 0.7802
As 0.5000 0.5000 0.5000
C 0.1666 0.1666 0.3280
C 0.5000 0.5000 0.0000
C 0.8334 0.8334 0.6720
N 0.1724 0.1724 0.8391
N 0.8276 0.8276 0.1609
```